Entry from Alexandria: an optimized crystal structure of KH6Br2N (GGA-PBE).

Cell lengths 4.5544, 4.5544, 28.7756 Å; angles 90.00, 90.00, 120.00 degrees
Space group R3 (No. 146, hexagonal axes)
Unique sites:
1 K 0.0000 0.0000 0.0000 x3
2 H 0.1399 0.0700 0.1187 x9
3 H 0.2133 0.4318 0.2050 x9
4 Br 0.0000 0.0000 0.2777 x3
5 Br 0.0000 0.0000 0.7606 x3
6 N 0.0000 0.0000 0.5229 x3

Computed properties:
**Energy**: -3.66 eV/atom